# Co2TcSb

An optimized crystal structure of Co2TcSb (GGA-PBE, the Alexandria database).

CIF file:
```
data_Co2TcSb
_chemical_formula_sum 'Co2 Tc1 Sb1'
_cell_length_a 2.875
_cell_length_b 2.875
_cell_length_c 6.919
_cell_angle_alpha 90.00
_cell_angle_beta 90.00
_cell_angle_gamma 90.00
_space_group_name_H-M_alt 'P 1'
_space_group_IT_number 1
loop_
_space_group_symop_operation_xyz
'x,y,z'
loop_
_atom_site_label
_atom_site_fract_x
_atom_site_fract_y
_atom_site_fract_z
Co1 0.000 0.000 0.984
Co2 0.000 0.000 0.516
Sb1 0.500 0.500 0.250
Tc1 0.500 0.500 0.750
```

Output
DFT total energy, eV/atom: -6.834
ρ, Mg/m³: 9.80
Spin magnetization, μB per formula unit: 1.37
Raw formation energy, meV per atom: 341

---

# CoTcSbTe2

An optimized crystal structure of CoTcSbTe2 (GGA-PBE, the Alexandria database).

CIF file:
```
data_CoTcSbTe2
_chemical_formula_sum 'Co1 Tc1 Sb1 Te2'
_cell_length_a 5.225
_cell_length_b 5.225
_cell_length_c 5.115
_cell_angle_alpha 90.00
_cell_angle_beta 90.00
_cell_angle_gamma 90.00
_space_group_name_H-M_alt 'P 1'
_space_group_IT_number 1
loop_
_space_group_symop_operation_xyz
'x,y,z'
loop_
_atom_site_label
_atom_site_fract_x
_atom_site_fract_y
_atom_site_fract_z
Te1 0.500 0.000 0.000
Tc1 0.000 0.000 0.000
Sb1 0.000 0.000 0.500
Te2 0.000 0.500 0.000
Co1 0.500 0.500 0.500
```

Output
DFT total energy, eV/atom: -4.539
ρ, Mg/m³: 6.35
Spin magnetization, μB per formula unit: 1.73
Relative energy among the computed polymorphs, eV per atom: 0.118
Raw formation energy, meV per atom: 1037

---

# CoTcSbTe2

An optimized crystal structure of CoTcSbTe2 (GGA-PBE, the Alexandria database).

CIF file:
```
data_CoTcSbTe2
_chemical_formula_sum 'Co1 Tc1 Sb1 Te2'
_cell_length_a 5.043
_cell_length_b 5.043
_cell_length_c 4.755
_cell_angle_alpha 90.00
_cell_angle_beta 90.00
_cell_angle_gamma 90.00
_space_group_name_H-M_alt 'P 1'
_space_group_IT_number 1
loop_
_space_group_symop_operation_xyz
'x,y,z'
loop_
_atom_site_label
_atom_site_fract_x
_atom_site_fract_y
_atom_site_fract_z
Tc1 0.500 0.500 0.500
Co1 0.000 0.000 0.000
Te1 0.000 0.500 0.000
Te2 0.500 0.000 0.000
Sb1 0.000 0.000 0.500
```

Output
DFT total energy, eV/atom: -4.657
ρ, Mg/m³: 7.33
Spin magnetization, μB per formula unit: 2.71
Relative energy among the computed polymorphs, eV per atom: 0.000
Raw formation energy, meV per atom: 919

---

# TiCo2TcSb

An optimized crystal structure of TiCo2TcSb (GGA-PBE, the Alexandria database).

CIF file:
```
data_TiCo2TcSb
_chemical_formula_sum 'Ti1 Co2 Tc1 Sb1'
_cell_length_a 4.408
_cell_length_b 4.994
_cell_length_c 4.408
_cell_angle_alpha 90.00
_cell_angle_beta 90.00
_cell_angle_gamma 90.00
_space_group_name_H-M_alt 'P 1'
_space_group_IT_number 1
loop_
_space_group_symop_operation_xyz
'x,y,z'
loop_
_atom_site_label
_atom_site_fract_x
_atom_site_fract_y
_atom_site_fract_z
Co1 0.000 0.000 0.500
Tc1 0.000 0.000 0.000
Sb1 0.000 0.500 0.000
Ti1 0.500 0.500 0.500
Co2 0.500 0.000 0.000
```

Output
DFT total energy, eV/atom: -6.273
ρ, Mg/m³: 6.60
Spin magnetization, μB per formula unit: 2.07
Raw formation energy, meV per atom: 1046

---

# VCoTcSb

An optimized crystal structure of VCoTcSb (GGA-PBE, the Alexandria database).

CIF file:
```
data_VCoTcSb
_chemical_formula_sum 'V1 Co1 Tc1 Sb1'
_cell_length_a 4.362
_cell_length_b 4.362
_cell_length_c 4.362
_cell_angle_alpha 60.00
_cell_angle_beta 60.00
_cell_angle_gamma 60.00
_space_group_name_H-M_alt 'P 1'
_space_group_IT_number 1
loop_
_space_group_symop_operation_xyz
'x,y,z'
loop_
_atom_site_label
_atom_site_fract_x
_atom_site_fract_y
_atom_site_fract_z
Sb1 0.000 0.000 0.000
Co1 0.750 0.750 0.750
Tc1 0.250 0.250 0.250
V1 0.500 0.500 0.500
```

Output
DFT total energy, eV/atom: -7.702
ρ, Mg/m³: 9.33
Spin magnetization, μB per formula unit: 2.01
Raw formation energy, meV per atom: -24

---

# CoSb2Te

An optimized crystal structure of CoSb2Te (GGA-PBE, the Alexandria database).

CIF file:
```
data_CoSb2Te
_chemical_formula_sum 'Co1 Sb2 Te1'
_cell_length_a 8.191
_cell_length_b 8.191
_cell_length_c 8.191
_cell_angle_alpha 26.04
_cell_angle_beta 26.04
_cell_angle_gamma 26.04
_space_group_name_H-M_alt 'P 1'
_space_group_IT_number 1
loop_
_space_group_symop_operation_xyz
'x,y,z'
loop_
_atom_site_label
_atom_site_fract_x
_atom_site_fract_y
_atom_site_fract_z
Sb1 0.024 0.024 0.024
Te1 0.250 0.250 0.250
Co1 0.750 0.750 0.750
Sb2 0.476 0.476 0.476
```

Output
DFT total energy, eV/atom: -4.530
ρ, Mg/m³: 7.65
Spin magnetization, μB per formula unit: 0.00
Raw formation energy, meV per atom: 93

---

# CoSb2Te

An optimized crystal structure of CoSb2Te (GGA-PBE, the Alexandria database).

CIF file:
```
data_CoSb2Te
_chemical_formula_sum 'Co1 Sb2 Te1'
_cell_length_a 3.153
_cell_length_b 3.153
_cell_length_c 9.554
_cell_angle_alpha 90.00
_cell_angle_beta 90.00
_cell_angle_gamma 90.00
_space_group_name_H-M_alt 'P 1'
_space_group_IT_number 1
loop_
_space_group_symop_operation_xyz
'x,y,z'
loop_
_atom_site_label
_atom_site_fract_x
_atom_site_fract_y
_atom_site_fract_z
Sb1 0.000 0.000 0.916
Co1 0.500 0.500 0.750
Sb2 0.000 0.000 0.584
Te1 0.500 0.500 0.250
```

Output
DFT total energy, eV/atom: -4.543
ρ, Mg/m³: 7.52
Spin magnetization, μB per formula unit: 0.50
Raw formation energy, meV per atom: 80

---

# Co3SbTe

An optimized crystal structure of Co3SbTe (GGA-PBE, the Alexandria database).

CIF file:
```
data_Co3SbTe
_chemical_formula_sum 'Co3 Sb1 Te1'
_cell_length_a 4.649
_cell_length_b 4.649
_cell_length_c 4.649
_cell_angle_alpha 90.00
_cell_angle_beta 90.00
_cell_angle_gamma 90.00
_space_group_name_H-M_alt 'P 1'
_space_group_IT_number 1
loop_
_space_group_symop_operation_xyz
'x,y,z'
loop_
_atom_site_label
_atom_site_fract_x
_atom_site_fract_y
_atom_site_fract_z
Co1 0.000 0.500 0.000
Sb1 0.500 0.500 0.500
Co2 0.500 0.000 0.000
Co3 0.000 0.000 0.500
Te1 0.000 0.000 0.000
```

Output
DFT total energy, eV/atom: -4.735
ρ, Mg/m³: 7.04
Spin magnetization, μB per formula unit: 2.32
Relative energy among the computed polymorphs, eV per atom: 0.000
Raw formation energy, meV per atom: 981

---

# CoSb2Te

An optimized crystal structure of CoSb2Te (GGA-PBE, the Alexandria database).

CIF file:
```
data_CoSb2Te
_chemical_formula_sum 'Co1 Sb2 Te1'
_cell_length_a 6.718
_cell_length_b 6.718
_cell_length_c 6.718
_cell_angle_alpha 151.60
_cell_angle_beta 138.09
_cell_angle_gamma 51.40
_space_group_name_H-M_alt 'P 1'
_space_group_IT_number 1
loop_
_space_group_symop_operation_xyz
'x,y,z'
loop_
_atom_site_label
_atom_site_fract_x
_atom_site_fract_y
_atom_site_fract_z
Te1 0.419 0.419 0.000
Sb1 0.082 0.082 0.000
Sb2 0.744 0.244 0.500
Co1 0.255 0.755 0.500
```

Output
DFT total energy, eV/atom: -4.444
ρ, Mg/m³: 7.45
Spin magnetization, μB per formula unit: 0.00
Raw formation energy, meV per atom: 179

---

# CoSbTe3

An optimized crystal structure of CoSbTe3 (GGA-PBE, the Alexandria database).

CIF file:
```
data_CoSbTe3
_chemical_formula_sum 'Co1 Sb1 Te3'
_cell_length_a 5.043
_cell_length_b 5.043
_cell_length_c 5.043
_cell_angle_alpha 90.00
_cell_angle_beta 90.00
_cell_angle_gamma 90.00
_space_group_name_H-M_alt 'P 1'
_space_group_IT_number 1
loop_
_space_group_symop_operation_xyz
'x,y,z'
loop_
_atom_site_label
_atom_site_fract_x
_atom_site_fract_y
_atom_site_fract_z
Sb1 0.500 0.500 0.500
Te1 0.000 0.000 0.500
Te2 0.000 0.500 0.000
Te3 0.500 0.000 0.000
Co1 0.000 0.000 0.000
```

Output
DFT total energy, eV/atom: -3.807
ρ, Mg/m³: 7.30
Spin magnetization, μB per formula unit: 0.00
Relative energy among the computed polymorphs, eV per atom: 0.000
Raw formation energy, meV per atom: 323

---

# Co2SbTe

An optimized crystal structure of Co2SbTe (GGA-PBE, the Alexandria database).

CIF file:
```
data_Co2SbTe
_chemical_formula_sum 'Co2 Sb1 Te1'
_cell_length_a 3.219
_cell_length_b 3.196
_cell_length_c 7.240
_cell_angle_alpha 64.17
_cell_angle_beta 90.00
_cell_angle_gamma 90.00
_space_group_name_H-M_alt 'P 1'
_space_group_IT_number 1
loop_
_space_group_symop_operation_xyz
'x,y,z'
loop_
_atom_site_label
_atom_site_fract_x
_atom_site_fract_y
_atom_site_fract_z
Co1 0.000 0.535 0.466
Co2 0.000 0.965 0.034
Te1 0.500 0.750 0.750
Sb1 0.500 0.250 0.250
```

Output
DFT total energy, eV/atom: -5.010
ρ, Mg/m³: 9.10
Spin magnetization, μB per formula unit: 0.00
Relative energy among the computed polymorphs, eV per atom: 0.472
Raw formation energy, meV per atom: 358

---

# Co2SbTe

An optimized crystal structure of Co2SbTe (GGA-PBE, the Alexandria database).

CIF file:
```
data_Co2SbTe
_chemical_formula_sum 'Co2 Sb1 Te1'
_cell_length_a 3.375
_cell_length_b 3.375
_cell_length_c 6.748
_cell_angle_alpha 90.00
_cell_angle_beta 90.00
_cell_angle_gamma 90.00
_space_group_name_H-M_alt 'P 1'
_space_group_IT_number 1
loop_
_space_group_symop_operation_xyz
'x,y,z'
loop_
_atom_site_label
_atom_site_fract_x
_atom_site_fract_y
_atom_site_fract_z
Te1 0.500 0.500 0.865
Co1 0.500 0.500 0.233
Sb1 0.000 0.000 0.389
Co2 0.000 0.000 0.013
```

Output
DFT total energy, eV/atom: -5.252
ρ, Mg/m³: 7.93
Spin magnetization, μB per formula unit: 0.00
Relative energy among the computed polymorphs, eV per atom: 0.230
Raw formation energy, meV per atom: 117